NbCdCCl2 | PBE-GGA | relaxed

a = 4.920 Å, b = 4.293 Å, c = 4.920 Å
α = 90.00°, β = 90.00°, γ = 90.00°
Fractional positions:
Nb 0.000 0.500 0.000
Cl 0.000 0.000 0.500
Cl 0.500 0.000 0.000
C 0.000 0.000 0.000
Cd 0.500 0.500 0.500

Computed properties:
Formation energy from raw total energies: 978 meV per atom



Nd3CdCCl | PBE-GGA | relaxed

a = 3.827 Å, b = 9.222 Å, c = 9.232 Å
α = 94.46°, β = 90.00°, γ = 90.00°
Fractional positions:
Nd 0.250 0.658 0.413
Nd 0.750 0.823 0.112
Nd 0.750 0.442 0.145
Nd 0.750 0.342 0.587
Nd 0.250 0.558 0.855
Nd 0.250 0.177 0.888
Cd 0.750 0.821 0.747
Cd 0.250 0.179 0.253
C 0.250 0.644 0.139
C 0.750 0.356 0.861
Cl 0.250 0.116 0.590
Cl 0.750 0.884 0.410

Computed properties:
Formation energy from raw total energies: -527 meV per atom



CdPCCl2 | PBE-GGA | relaxed

a = 5.813 Å, b = 5.813 Å, c = 3.263 Å
α = 90.00°, β = 90.00°, γ = 90.00°
Fractional positions:
P 0.000 0.000 0.500
C 0.000 0.000 0.000
Cl 0.000 0.500 0.000
Cl 0.500 0.000 0.000
Cd 0.500 0.500 0.500

Computed properties:
Formation energy from raw total energies: 821 meV per atom



CdPCCl2 | PBE-GGA | relaxed

a = 5.186 Å, b = 5.186 Å, c = 5.258 Å
α = 90.00°, β = 90.00°, γ = 90.00°
Fractional positions:
P 0.000 0.000 0.500
C 0.500 0.500 0.500
Cl 0.000 0.500 0.000
Cl 0.500 0.000 0.000
Cd 0.000 0.000 0.000

Computed properties:
Formation energy from raw total energies: 1648 meV per atom



CdP2CCl | PBE-GGA | relaxed

a = 3.851 Å, b = 3.851 Å, c = 6.738 Å
α = 90.00°, β = 90.00°, γ = 90.00°
Fractional positions:
P 0.000 0.500 0.000
P 0.500 0.000 0.000
C 0.000 0.000 0.000
Cl 0.000 0.000 0.500
Cd 0.500 0.500 0.500

Computed properties:
Formation energy from raw total energies: 840 meV per atom



CdP2CCl | PBE-GGA | relaxed

a = 5.035 Å, b = 5.035 Å, c = 5.144 Å
α = 90.00°, β = 90.00°, γ = 90.00°
Fractional positions:
P 0.000 0.500 0.000
P 0.500 0.000 0.000
C 0.500 0.500 0.500
Cl 0.000 0.000 0.500
Cd 0.000 0.000 0.000

Computed properties:
Formation energy from raw total energies: 2221 meV per atom



Rb2CdCCl6 | PBE-GGA | relaxed

a = 7.106 Å, b = 7.106 Å, c = 7.108 Å
α = 60.01°, β = 60.01°, γ = 90.00°
Fractional positions:
C 0.500 0.500 0.000
Cl 0.264 0.264 0.472
Cl 0.736 0.736 0.528
Cl 0.264 0.264 0.000
Cl 0.736 0.736 0.000
Cl 0.736 0.264 0.000
Cl 0.264 0.736 0.000
Rb 0.750 0.250 0.500
Rb 0.250 0.750 0.500
Cd 0.000 0.000 0.000

Computed properties:
Formation energy from raw total energies: -669 meV per atom



CdRu2CCl | PBE-GGA | relaxed

a = 4.416 Å, b = 4.138 Å, c = 4.416 Å
α = 90.00°, β = 90.00°, γ = 90.00°
Fractional positions:
Ru 0.000 0.000 0.500
Ru 0.500 0.000 0.000
C 0.000 0.500 0.000
Cl 0.000 0.000 0.000
Cd 0.500 0.500 0.500

Computed properties:
Formation energy from raw total energies: 1864 meV per atom



CdCSCl2 | PBE-GGA | relaxed

a = 4.564 Å, b = 4.564 Å, c = 4.210 Å
α = 90.00°, β = 90.00°, γ = 90.00°
Fractional positions:
S 0.000 0.000 0.500
Cl 0.000 0.500 0.000
Cl 0.500 0.000 0.000
C 0.000 0.000 0.000
Cd 0.500 0.500 0.500

Computed properties:
Formation energy from raw total energies: 800 meV per atom



CdCSCl2 | PBE-GGA | relaxed

a = 5.021 Å, b = 5.021 Å, c = 5.222 Å
α = 90.00°, β = 90.00°, γ = 90.00°
Fractional positions:
S 0.000 0.000 0.500
Cl 0.000 0.500 0.000
Cl 0.500 0.000 0.000
C 0.500 0.500 0.500
Cd 0.000 0.000 0.000

Computed properties:
Formation energy from raw total energies: 1519 meV per atom



Sm3CdCCl | PBE-GGA | relaxed

a = 3.776 Å, b = 9.103 Å, c = 9.092 Å
α = 94.24°, β = 90.00°, γ = 90.00°
Fractional positions:
Sm 0.250 0.655 0.413
Sm 0.750 0.822 0.113
Sm 0.750 0.442 0.145
Sm 0.750 0.345 0.587
Sm 0.250 0.558 0.855
Sm 0.250 0.178 0.887
Cd 0.750 0.823 0.750
Cd 0.250 0.177 0.250
C 0.250 0.643 0.139
C 0.750 0.357 0.861
Cl 0.250 0.119 0.589
Cl 0.750 0.881 0.411

Computed properties:
Formation energy from raw total energies: -557 meV per atom



TaCd2CCl | PBE-GGA | relaxed

a = 4.855 Å, b = 4.199 Å, c = 4.855 Å
α = 90.00°, β = 90.00°, γ = 90.00°
Fractional positions:
Cl 0.500 0.500 0.500
C 0.000 0.000 0.000
Cd 0.000 0.000 0.500
Cd 0.500 0.000 0.000
Ta 0.000 0.500 0.000

Computed properties:
Formation energy from raw total energies: 629 meV per atom